(1)
Here is an optimized crystal structure of InSiTe from Alexandria via LeMat-Bulk. Energies are from PBE.

The structure in POSCAR format:
```
InSiTe
1.0
5.3211 0.0000 0.0000
-2.6606 4.6082 0.0000
0.0000 0.0000 3.0457
In Si Te
1 1 1
direct
0.0000 0.0000 0.0000
0.6667 0.3333 0.4829
0.3333 0.6667 0.4824
```

Results
Crystal system: trigonal
E_tot (eV/atom): -3.389
Calculated density (Mg/m³): 6.014
Energy relative to the elements, uncorrected (eV/atom): 0.38
Energy above the lowest structure with this stoichiometry (eV/atom): 0.282
Space-group type: P3m1, No. 156

(2)
Here is an optimized crystal structure of FeTeP2 from Alexandria via LeMat-Bulk. Energies are from PBE.

The structure in POSCAR format:
```
FeTeP2
1.0
-1.6455 2.5560 4.4015
1.6455 -2.5560 4.4015
1.6455 2.5560 -4.4015
Fe Te P
1 1 2
direct
0.0000 0.0000 0.0000
0.6169 0.1169 0.5000
0.1785 0.6785 0.5000
0.3720 0.3720 0.0000
```

Results
Crystal system: orthorhombic
E_tot (eV/atom): -5.035
Calculated density (Mg/m³): 5.503
Energy relative to the elements, uncorrected (eV/atom): 0.57
Space-group type: Imm2, No. 44

(3)
Here is an optimized crystal structure of TaZnRhS2 from Alexandria via LeMat-Bulk. Energies are from PBE.

The structure in POSCAR format:
```
TaZnRhS2
1.0
4.4215 0.0000 0.0000
0.0000 4.4215 0.0000
0.0000 0.0000 4.6118
Ta Zn Rh S
1 1 1 2
direct
0.0000 0.0000 0.0000
0.5000 0.5000 0.5000
0.5000 0.5000 0.0000
0.0000 0.5000 0.5000
0.5000 0.0000 0.5000
```

Results
Crystal system: tetragonal
E_tot (eV/atom): -4.795
Calculated density (Mg/m³): 7.614
Energy relative to the elements, uncorrected (eV/atom): 0.95
Space-group type: P4/mmm, No. 123

(4)
Here is an optimized crystal structure of Dy5Y4Sc from Alexandria via LeMat-Bulk. Energies are from PBE.

The structure in POSCAR format:
```
Dy5Y4Sc
1.0
8.7264 -1.7262 0.0000
8.7264 1.7262 0.0000
-3.2152 0.0000 10.4487
Dy Y Sc
5 4 1
direct
0.0000 0.0000 0.0000
0.2931 0.2931 0.9023
0.3947 0.3947 0.2129
0.6053 0.6053 0.7871
0.7069 0.7069 0.0977
0.1964 0.1964 0.5847
0.4078 0.4078 0.6915
0.5922 0.5922 0.3085
0.8036 0.8036 0.4153
0.0000 0.0000 0.5000
```

Results
ΔH_f (0 K) (eV per atom): 0.12
Crystal system: monoclinic
E_tot (eV/atom): -5.400
Calculated density (Mg/m³): 6.399
Energy above the lowest structure with this stoichiometry (eV/atom): 0.000
Space-group type: C2/m, No. 12

(5)
Here is an optimized crystal structure of La3Sm7Dy from Alexandria via LeMat-Bulk. Energies are from PBE.

The structure in POSCAR format:
```
La3Sm7Dy
1.0
5.9140 -5.1295 0.0000
5.9140 5.1295 0.0000
-0.4758 0.0000 6.4919
La Sm Dy
3 7 1
direct
0.0000 0.0000 0.0000
0.1762 0.8238 0.5000
0.8238 0.1762 0.5000
0.0894 0.4310 0.2378
0.2397 0.2397 0.7120
0.4310 0.0894 0.2378
0.5000 0.5000 0.5000
0.5690 0.9106 0.7622
0.7603 0.7603 0.2880
0.9106 0.5690 0.7622
0.5000 0.5000 0.0000
```

Results
ΔH_f (0 K) (eV per atom): 0.22
Crystal system: monoclinic
E_tot (eV/atom): -4.545
Calculated density (Mg/m³): 6.879
Energy above the lowest structure with this stoichiometry (eV/atom): 0.000
Space-group type: C2/m, No. 12

(6)
Here is an optimized crystal structure of Rb2AgCl3F from Alexandria via LeMat-Bulk. Energies are from PBE.

The structure in POSCAR format:
```
Rb2AgCl3F
1.0
-2.3417 2.5101 8.3064
2.3417 -2.5101 8.3064
2.3417 2.5101 -8.3064
Rb Ag Cl F
2 1 3 1
direct
0.1387 0.1387 0.0000
0.8613 0.8613 0.0000
0.5000 0.5000 0.0000
0.0000 0.5000 0.5000
0.3424 0.3424 0.0000
0.6576 0.6576 0.0000
0.5000 0.0000 0.5000
```

Results
Crystal system: orthorhombic
E_tot (eV/atom): -3.220
Calculated density (Mg/m³): 3.437
Energy relative to the elements, uncorrected (eV/atom): -1.48
Space-group type: Immm, No. 71

(7)
Here is an optimized crystal structure of Nd6Co2AgBr3 from Alexandria via LeMat-Bulk. Energies are from PBE.

The structure in POSCAR format:
```
Nd6Co2AgBr3
1.0
9.7588 -2.0463 0.0000
9.7588 2.0463 0.0000
-3.1782 0.0000 8.6258
Nd Co Ag Br
6 2 1 3
direct
0.0255 0.0255 0.2546
0.3170 0.3170 0.4421
0.3351 0.3351 0.8665
0.6649 0.6649 0.1335
0.6830 0.6830 0.5579
0.9745 0.9745 0.7454
0.1684 0.1684 0.3390
0.8316 0.8316 0.6610
0.5000 0.5000 0.0000
0.1653 0.1653 0.8355
0.5000 0.5000 0.5000
0.8347 0.8347 0.1645
```

Results
Crystal system: monoclinic
E_tot (eV/atom): -4.921
Calculated density (Mg/m³): 6.415
Energy relative to the elements, uncorrected (eV/atom): -0.70
Space-group type: C2/m, No. 12

(8)
Here is an optimized crystal structure of ScCd2Ge2 from Alexandria via LeMat-Bulk. Energies are from PBE.

The structure in POSCAR format:
```
ScCd2Ge2
1.0
-1.8415 1.8415 8.3269
1.8415 -1.8415 8.3269
1.8415 1.8415 -8.3269
Sc Cd Ge
1 2 2
direct
0.0000 0.0000 0.0000
0.3970 0.3970 0.0000
0.6030 0.6030 0.0000
0.2500 0.7500 0.5000
0.7500 0.2500 0.5000
```

Results
ΔH_f (0 K) (eV per atom): 0.11
Crystal system: tetragonal
E_tot (eV/atom): -3.372
Calculated density (Mg/m³): 6.102
Energy above the lowest structure with this stoichiometry (eV/atom): 0.200
Space-group type: I4/mmm, No. 139

(9)
Here is an optimized crystal structure of NdHoGa from Alexandria via LeMat-Bulk. Energies are from PBE.

The structure in POSCAR format:
```
NdHoGa
1.0
5.0145 0.0000 0.0000
-2.5072 4.3427 0.0000
0.0000 0.0000 3.7587
Nd Ho Ga
1 1 1
direct
0.0000 0.0000 0.0000
0.3333 0.6667 0.4614
0.6667 0.3333 0.6448
```

Results
ΔH_f (0 K) (eV per atom): -0.27
Crystal system: trigonal
E_tot (eV/atom): -4.398
Calculated density (Mg/m³): 7.687
Energy above the lowest structure with this stoichiometry (eV/atom): 0.131
Space-group type: P3m1, No. 156

(10)
Here is an optimized crystal structure of CaAcCoCu from Alexandria via LeMat-Bulk. Energies are from PBE.

The structure in POSCAR format:
```
CaAcCoCu
1.0
0.0000 3.6027 3.6027
3.6027 0.0000 3.6027
3.6027 3.6027 0.0000
Ca Ac Co Cu
1 1 1 1
direct
0.0000 0.0000 0.0000
0.5000 0.5000 0.5000
0.2500 0.2500 0.2500
0.7500 0.7500 0.7500
```

Results
ΔH_f (0 K) (eV per atom): 0.12
Crystal system: cubic
E_tot (eV/atom): -4.207
Calculated density (Mg/m³): 6.917
Space-group type: F-43m, No. 216

(11)
Here is an optimized crystal structure of Ta2AuCl from Alexandria via LeMat-Bulk. Energies are from PBE.

The structure in POSCAR format:
```
Ta2AuCl
1.0
1.5161 0.8753 10.0496
-1.5161 0.8753 10.0496
0.0000 -1.7506 10.0496
Ta Au Cl
2 1 1
direct
0.0000 0.0000 0.0000
0.2497 0.2497 0.2497
0.5085 0.5085 0.5085
0.7257 0.7257 0.7257
```

Results
Crystal system: trigonal
E_tot (eV/atom): -7.355
Calculated density (Mg/m³): 12.333
Energy relative to the elements, uncorrected (eV/atom): -0.15
Energy above the lowest structure with this stoichiometry (eV/atom): 0.000
Space-group type: R3m, No. 160

(12)
Here is an optimized crystal structure of ZrTlHgI6 from Alexandria via LeMat-Bulk. Energies are from PBE.

The structure in POSCAR format:
```
ZrTlHgI6
1.0
7.0156 0.0000 0.0000
0.0151 8.1220 0.0000
0.0141 4.0576 7.0398
Zr Tl Hg I
1 1 1 6
direct
0.0000 0.0000 0.0000
0.0000 0.3337 0.3331
0.5000 0.6667 0.6666
0.2406 0.2923 0.9923
0.2411 0.7153 0.2915
0.2408 0.9928 0.7146
0.7591 0.2924 0.7151
0.7594 0.7154 0.9926
0.7590 0.9932 0.2920
```

Results
Crystal system: triclinic
E_tot (eV/atom): -2.896
Calculated density (Mg/m³): 5.206
Energy relative to the elements, uncorrected (eV/atom): -0.62
Space-group type: P1, No. 1